Density functional theory data (GGA+U) for a relaxed SmNpNi2O6 crystal.

## Properties
D(E_F): 0.795 states/eV/atom
Volume: 12.75 Å³/atom
Calculated total energy: -0.5526 Ry per atom

Cell lengths 5.4865, 5.4865, 14.6698 Å; angles 90.00, 90.00, 120.00 degrees
Closest atoms and distances in Å follow each position.
Space group R3 (No. 146, hexagonal axes)
Inequivalent atoms, fractional coordinates:
Sm 0.0000 0.0000 0.0000  6 O 2.28-2.42
Np 0.0000 0.0000 0.5131  6 O 2.15-2.17
Ni 0.0000 0.0000 0.2093  6 O 2.07-2.18
Ni 0.0000 0.0000 0.7190  6 O 2.05-2.24
O 0.0307 0.3471 0.7831  2 Ni 2.05-2.18, 1 Np 2.17
O 0.0670 0.7103 0.2784  2 Ni 2.07-2.24, 1 Np 2.15, 1 Sm 2.28

Density functional theory data (GGA+U) for a relaxed MoPClO4 crystal.

## Properties
Volume: 13.25 Å³/atom
Calculated total energy: -0.4798 Ry per atom

Cell lengths 9.1917, 6.6234, 6.3877 Å; angles 90.00, 107.49, 90.00 degrees
Closest atoms and distances in Å follow each position.
Space group C2/m (No. 12)
Inequivalent atoms, fractional coordinates:
Mo 0.2309 0.0000 0.1552  4 O 2.01-2.15
P 0.1403 0.5000 0.2708  4 O 1.53-1.56
Cl 0.0224 0.0000 0.7849  2 Mo 2.47-2.56, 1 O 2.74
O 0.0314 0.5000 0.7612  1 P 1.53
O 0.1946 0.3199 0.1547  1 P 1.56
O 0.2265 0.5000 0.5178  1 P 1.54

Density functional theory data (GGA+U) for a relaxed SiW2F crystal.

## Properties
D(E_F): 0.411 states/eV/atom
Volume: 15.80 Å³/atom
Calculated total energy: -0.3544 Ry per atom
Polymorph energy (0 for the lowest one): 0.098 eV/atom

Cell lengths 6.5566, 6.5566, 5.8794 Å; angles 90.00, 90.00, 90.00 degrees
Closest atoms and distances in Å follow each position.
Space group I-42d (No. 122)
Inequivalent atoms, fractional coordinates:
Si 0.0000 0.0000 0.0000  8 W 2.73-3.01, 2 F 2.94
W 0.1865 0.7500 0.6250  2 F 2.17
F 0.0000 0.0000 0.5000  4 W 2.17